Density functional theory data (PBE) for crystalline KTlBr at its relaxed geometry.

Output
**Formation energy (no corrections)**: -0.7636 eV/atom
**Energy relative to the lowest polymorph listed for this composition**: 57 meV/atom
**Magnetization**: 0.0 μB/f.u.

a = 4.3338 Å, b = 4.3761 Å, c = 13.7733 Å
α = 90.00°, β = 90.00°, γ = 90.00°
Last column: nearest neighbours and their distance in Å.
Positions (direct):
K 0.0000 0.0000 0.0000  4 Br 3.16
K 0.5000 0.5000 0.5000  4 Br 3.16
Tl 0.0000 0.0000 0.3142  1 Br 3.26
Tl 0.5000 0.5000 0.8142  1 Br 3.26
Br 0.0000 0.0000 0.5506  4 K 3.16, 1 Tl 3.26
Br 0.5000 0.5000 0.0506  4 K 3.16, 1 Tl 3.26

---

Density functional theory data (PBE) for crystalline K4Tl3Br8 at its relaxed geometry.

Output
**Formation energy (no corrections)**: -1.2467 eV/atom
**Magnetization**: 0.0 μB/f.u.

a = 9.2581 Å, b = 9.2581 Å, c = 9.2507 Å
α = 119.16°, β = 119.16°, γ = 90.76°
Last column: nearest neighbours and their distance in Å.
Positions (direct):
K 0.0000 0.0000 0.0000  6 Br 3.29-3.36
K 0.0000 0.5000 0.0000  6 Br 3.25-3.33
K 0.5000 0.0000 0.0000  6 Br 3.25-3.33
K 0.5000 0.5000 0.5000  6 Br 3.24-3.27
Tl 0.0000 0.5000 0.5000  6 Br 3.25-3.33
Tl 0.5000 0.0000 0.5000  6 Br 3.25-3.33
Tl 0.5000 0.5000 0.0000  6 Br 3.19-3.30
Br 0.2497 0.7503 0.0000  3 K 3.25-3.29, 3 Tl 3.30-3.33
Br 0.2512 0.2512 0.5046  2 K 3.26-3.36, 3 Tl 3.30
Br 0.2519 0.7481 0.5000  2 Tl 3.25, 3 K 3.27-3.33
Br 0.2621 0.2621 0.0140  1 Tl 3.19, 4 K 3.24-3.32
Br 0.7379 0.7379 0.9860  1 Tl 3.19, 4 K 3.24-3.32
Br 0.7481 0.2519 0.5000  2 Tl 3.25, 3 K 3.27-3.33
Br 0.7488 0.7488 0.4954  2 K 3.26-3.36, 3 Tl 3.30
Br 0.7503 0.2497 0.0000  3 K 3.25-3.29, 3 Tl 3.30-3.33

---

Density functional theory data (PBE) for crystalline KTl2Br4 at its relaxed geometry.

Output
**Formation energy (no corrections)**: -0.8004 eV/atom
**Energy relative to the lowest polymorph listed for this composition**: 163 meV/atom
**Magnetization**: 0.0 μB/f.u.

a = 6.2344 Å, b = 6.2344 Å, c = 15.1623 Å
α = 90.00°, β = 90.00°, γ = 90.00°
Last column: nearest neighbours and their distance in Å.
Positions (direct):
K 0.0000 0.0000 0.0000  6 Br 3.12-3.25
K 0.5000 0.5000 0.5000  6 Br 3.12-3.25
Tl 0.0000 0.0000 0.3948  1 Br 2.73
Tl 0.0000 0.0000 0.6052  1 Br 2.73
Tl 0.5000 0.5000 0.1052  1 Br 2.73
Tl 0.5000 0.5000 0.8948  1 Br 2.73
Br 0.0000 0.0000 0.2145  1 Tl 2.73
Br 0.0000 0.0000 0.7855  1 Tl 2.73
Br 0.0000 0.5000 0.0000  2 K 3.12
Br 0.0000 0.5000 0.5000  2 K 3.12
Br 0.5000 0.0000 0.0000  2 K 3.12
Br 0.5000 0.0000 0.5000  2 K 3.12
Br 0.5000 0.5000 0.2855  1 Tl 2.73
Br 0.5000 0.5000 0.7145  1 Tl 2.73

---

Density functional theory data (PBE) for crystalline KTlBr2 at its relaxed geometry.

Output
**Formation energy (no corrections)**: -1.2809 eV/atom
**Energy relative to the lowest polymorph listed for this composition**: 31 meV/atom
**Magnetization**: 0.0 μB/f.u.

a = 4.6370 Å, b = 4.6370 Å, c = 24.5600 Å
α = 90.00°, β = 90.00°, γ = 120.00°
Last column: nearest neighbours and their distance in Å.
Positions (direct):
K 0.0000 0.0000 0.0000  6 Br 3.35-3.37
K 0.3333 0.6667 0.6667  6 Br 3.35-3.37
K 0.6667 0.3333 0.3333  6 Br 3.35-3.37
Tl 0.0000 0.0000 0.8319  6 Br 3.37-3.39
Tl 0.3333 0.6667 0.4986  6 Br 3.37-3.39
Tl 0.6667 0.3333 0.1652  6 Br 3.37-3.39
Br 0.0000 0.0000 0.2497  3 K 3.37, 3 Tl 3.39
Br 0.0000 0.0000 0.4151  3 K 3.35, 3 Tl 3.37
Br 0.3333 0.6667 0.0818  3 K 3.35, 3 Tl 3.37
Br 0.3333 0.6667 0.9164  3 K 3.37, 3 Tl 3.39
Br 0.6667 0.3333 0.5831  3 K 3.37, 3 Tl 3.39
Br 0.6667 0.3333 0.7485  3 K 3.35, 3 Tl 3.37

---

Density functional theory data (PBE) for crystalline KTl2Br4 at its relaxed geometry.

Output
**Formation energy (no corrections)**: -0.8931 eV/atom
**Energy relative to the lowest polymorph listed for this composition**: 71 meV/atom
**Magnetization**: 0.0 μB/f.u.

a = 7.8973 Å, b = 7.8973 Å, c = 5.3245 Å
α = 90.00°, β = 90.00°, γ = 90.00°
Last column: nearest neighbours and their distance in Å.
Positions (direct):
K 0.0000 0.0000 0.0000  4 Br 3.19
Tl 0.0000 0.5000 0.5000  4 Br 3.00
Tl 0.5000 0.0000 0.5000  4 Br 3.00
Br 0.2496 0.2496 0.2922  2 Tl 3.00, 1 K 3.19
Br 0.2496 0.7504 0.7078  2 Tl 3.00, 1 K 3.19
Br 0.7504 0.2496 0.7078  2 Tl 3.00, 1 K 3.19
Br 0.7504 0.7504 0.2922  2 Tl 3.00, 1 K 3.19

---

Density functional theory data (PBE) for crystalline KTlBr at its relaxed geometry.

Output
**Formation energy (no corrections)**: -0.6647 eV/atom
**Energy relative to the lowest polymorph listed for this composition**: 156 meV/atom
**Magnetization**: 0.0 μB/f.u.

a = 5.6025 Å, b = 5.6025 Å, c = 4.0407 Å
α = 90.00°, β = 90.00°, γ = 120.00°
Last column: nearest neighbours and their distance in Å.
Positions (direct):
K 0.0000 0.0000 0.0000  6 Br 3.81, 6 Tl 3.81, 2 K 4.04
Tl 0.6667 0.3333 0.5000  3 Br 3.23
Br 0.3333 0.6667 0.5000  3 Tl 3.23